Ca3BTe (PBE-GGA, optimized geometry); ΔE to the lowest computed polymorph = 0.0 meV/atom; E_form (uncorrected) = -0.385 eV/atom
1.0
5.203 0.000 0.000
0.000 5.203 0.000
0.000 0.000 5.203
Ca B Te
3 1 1
direct
0.000 0.000 0.500
0.000 0.500 0.000
0.500 0.000 0.000
0.000 0.000 0.000
0.500 0.500 0.500

CaThB12 (PBE-GGA, optimized geometry); E_form = -0.449 eV per atom
1.0
4.119 0.000 0.000
0.000 4.119 0.000
0.000 0.000 8.275
Ca Th B
1 1 12
direct
0.000 0.000 0.000
0.000 0.000 0.500
0.199 0.500 0.250
0.199 0.500 0.750
0.500 0.199 0.250
0.500 0.199 0.750
0.500 0.500 0.100
0.500 0.500 0.401
0.500 0.500 0.599
0.500 0.500 0.900
0.500 0.801 0.250
0.500 0.801 0.750
0.801 0.500 0.250
0.801 0.500 0.750

Ca3TiB (PBE-GGA, optimized geometry); E_form = 0.733 eV per atom; ΔE to the lowest computed polymorph = 0.0 meV/atom
1.0
5.277 0.000 0.000
0.000 5.277 0.000
0.000 0.000 5.277
Ca Ti B
3 1 1
direct
0.000 0.000 0.500
0.000 0.500 0.000
0.500 0.000 0.000
0.500 0.500 0.500
0.000 0.000 0.000

CaTiB3 (PBE-GGA, optimized geometry); E_form = 0.772 eV per atom; ΔE to the lowest computed polymorph = 0.0 meV/atom
1.0
4.237 0.000 0.000
0.000 4.237 0.000
0.000 0.000 4.237
Ca Ti B
1 1 3
direct
0.000 0.000 0.000
0.500 0.500 0.500
0.000 0.500 0.500
0.500 0.000 0.500
0.500 0.500 0.000

We obtain theoretical density values of 3.05 4.75 2.02 2.63 Mg/m³ for the records listed above, in that order.